(1)
VASP calculation (GGA-PBE) on crystalline CaGe3Ru3 at its relaxed geometry.

Properties
- calculated volume (Å³/cell) = 303
- DOS(E_F) (states/eV/f.u.) = 3.48
- VASP energy (eV/atom) = -6.193
- total magnetic moment (Bohr magnetons per cell) = 0.00
- formation energy (eV/atom) = 0.05

a b c (Å): 6.7171 6.7171 6.7171
angles (deg): 90.00 90.00 90.00
With the nearest neighbours (Å) after each atom.
Space group Pm-3n (No. 223)
Inequivalent atoms, fractional coordinates:
Ca1 0.0000 0.0000 0.0000 [2 per cell]  12 Ge 3.75, 12 Ru 3.75
Ge1 0.0000 0.2500 0.5000 [6 per cell]  4 Ru 2.37
Ru1 0.0000 0.5000 0.2500 [6 per cell]  4 Ge 2.37



(2)
VASP calculation (GGA-PBE) on crystalline LiDy4BiS8 at its relaxed geometry.

Properties
- calculated volume (Å³/cell) = 1111
- DOS(E_F) (states/eV/f.u.) = 0.00
- VASP energy (eV/atom) = -5.755
- formation energy (no corrections) (kJ/mol of formula units) = -2253
- total magnetic moment (Bohr magnetons per cell) = 0.00

a b c (Å): 8.0297 8.0297 19.8953
angles (deg): 90.00 90.00 120.00
With the nearest neighbours (Å) after each atom.
Space group R3m (No. 160, hexagonal axes)
Inequivalent atoms, fractional coordinates:
Li1 0.0000 0.0000 0.0000 [3 per cell]  4 S 2.56-2.61
Dy1 0.0000 0.0000 0.2553 [3 per cell]  4 S 2.61-2.64
Dy2 0.1715 0.3429 0.4623 [9 per cell]  6 S 2.71-2.80
Bi1 0.0000 0.0000 0.6382 [3 per cell]  6 S 2.73-2.94
S1 0.0000 0.0000 0.3881 [3 per cell]  4 Dy 2.64-2.80
S2 0.0000 0.0000 0.8713 [3 per cell]  1 Li 2.56, 3 Dy 2.71
S3 0.0130 0.5065 0.3840 [9 per cell]  1 Li 2.61, 2 Dy 2.73, 1 Bi 2.73
S4 0.1746 0.3492 0.2072 [9 per cell]  3 Dy 2.61-2.78